# PBE Ac2Pm8Sm, relaxed
data_Ac2Pm8Sm
_chemical_formula_sum 'Ac2 Pm8 Sm1'
_space_group_name_H-M_alt 'P 1'
_space_group_IT_number 1
_cell_length_a 9.163
_cell_length_b 9.163
_cell_length_c 7.008
_cell_angle_alpha 99.48
_cell_angle_beta 99.48
_cell_angle_gamma 44.29
loop_
_space_group_symop_operation_xyz
'x,y,z'
loop_
_atom_site_label
_atom_site_fract_x
_atom_site_fract_y
_atom_site_fract_z
Ac1 0.200 0.200 0.312
Ac2 0.800 0.800 0.688
Pm1 0.177 0.650 0.100
Pm2 0.246 0.246 0.823
Pm3 0.350 0.823 0.900
Pm4 0.414 0.414 0.598
Pm5 0.586 0.586 0.402
Pm6 0.650 0.177 0.100
Pm7 0.754 0.754 0.177
Pm8 0.823 0.350 0.900
Sm1 0.000 0.000 0.500
# offset from the most stable computed form: 0 meV/atom
# total moment: 0.000 Bohr magnetons per cell
# symmetry: No. 12

=====

# PBE Ac6PmSm, relaxed
data_Ac6PmSm
_chemical_formula_sum 'Ac6 Pm1 Sm1'
_space_group_name_H-M_alt 'P 1'
_space_group_IT_number 1
_cell_length_a 9.284
_cell_length_b 9.284
_cell_length_c 6.560
_cell_angle_alpha 110.67
_cell_angle_beta 110.67
_cell_angle_gamma 40.43
loop_
_space_group_symop_operation_xyz
'x,y,z'
loop_
_atom_site_label
_atom_site_fract_x
_atom_site_fract_y
_atom_site_fract_z
Ac1 0.121 0.121 0.083
Ac2 0.250 0.250 0.700
Ac3 0.379 0.379 0.339
Ac4 0.621 0.621 0.661
Ac5 0.750 0.750 0.300
Ac6 0.879 0.879 0.917
Pm1 0.000 0.000 0.500
Sm1 0.500 0.500 0.000
# offset from the most stable computed form: 0 meV/atom
# total moment: 0.000 Bohr magnetons per cell
# symmetry: No. 12

=====

# PBE Ac3Pm2Sm3, relaxed
data_Ac3Pm2Sm3
_chemical_formula_sum 'Ac6 Pm4 Sm6'
_space_group_name_H-M_alt 'P 1'
_space_group_IT_number 1
_cell_length_a 10.199
_cell_length_b 10.199
_cell_length_c 6.852
_cell_angle_alpha 90.00
_cell_angle_beta 90.00
_cell_angle_gamma 120.00
loop_
_space_group_symop_operation_xyz
'x,y,z'
loop_
_atom_site_label
_atom_site_fract_x
_atom_site_fract_y
_atom_site_fract_z
Ac1 0.000 0.233 0.250
Ac2 0.000 0.767 0.750
Ac3 0.233 0.000 0.250
Ac4 0.233 0.233 0.750
Ac5 0.767 0.000 0.750
Ac6 0.767 0.767 0.250
Pm1 0.333 0.667 0.000
Pm2 0.333 0.667 0.500
Pm3 0.667 0.333 0.000
Pm4 0.667 0.333 0.500
Sm1 0.000 0.413 0.750
Sm2 0.000 0.587 0.250
Sm3 0.413 0.000 0.750
Sm4 0.413 0.413 0.250
Sm5 0.587 0.000 0.250
Sm6 0.587 0.587 0.750
# total moment: 0.000 Bohr magnetons per cell
# symmetry: No. 193

=====

# PBE AcPm7Sm12, relaxed
data_AcPm7Sm12
_chemical_formula_sum 'Ac1 Pm7 Sm12'
_space_group_name_H-M_alt 'P 1'
_space_group_IT_number 1
_cell_length_a 8.905
_cell_length_b 8.905
_cell_length_c 8.905
_cell_angle_alpha 87.70
_cell_angle_beta 87.70
_cell_angle_gamma 87.70
loop_
_space_group_symop_operation_xyz
'x,y,z'
loop_
_atom_site_label
_atom_site_fract_x
_atom_site_fract_y
_atom_site_fract_z
Ac1 0.000 0.000 0.000
Pm1 0.066 0.394 0.155
Pm2 0.155 0.066 0.394
Pm3 0.394 0.155 0.066
Pm4 0.500 0.500 0.500
Pm5 0.606 0.845 0.934
Pm6 0.845 0.934 0.606
Pm7 0.934 0.606 0.845
Sm1 0.135 0.623 0.493
Sm2 0.146 0.279 0.729
Sm3 0.271 0.854 0.721
Sm4 0.279 0.729 0.146
Sm5 0.377 0.507 0.865
Sm6 0.493 0.135 0.623
Sm7 0.507 0.865 0.377
Sm8 0.623 0.493 0.135
Sm9 0.721 0.271 0.854
Sm10 0.729 0.146 0.279
Sm11 0.854 0.721 0.271
Sm12 0.865 0.377 0.507
# offset from the most stable computed form: 0 meV/atom
# total moment: 0.000 Bohr magnetons per cell
# symmetry: No. 148

=====

# PBE Ac5Pm6Sm, relaxed
data_Ac5Pm6Sm
_chemical_formula_sum 'Ac5 Pm6 Sm1'
_space_group_name_H-M_alt 'P 1'
_space_group_IT_number 1
_cell_length_a 10.043
_cell_length_b 10.043
_cell_length_c 10.043
_cell_angle_alpha 148.72
_cell_angle_beta 116.94
_cell_angle_gamma 72.08
loop_
_space_group_symop_operation_xyz
'x,y,z'
loop_
_atom_site_label
_atom_site_fract_x
_atom_site_fract_y
_atom_site_fract_z
Ac1 0.000 0.000 0.000
Ac2 0.167 0.667 0.500
Ac3 0.337 0.337 0.000
Ac4 0.663 0.663 0.000
Ac5 0.833 0.333 0.500
Pm1 0.087 0.835 0.252
Pm2 0.253 0.500 0.753
Pm3 0.417 0.165 0.252
Pm4 0.583 0.835 0.748
Pm5 0.747 0.500 0.247
Pm6 0.913 0.165 0.748
Sm1 0.500 0.000 0.500
# total moment: 0.000 Bohr magnetons per cell
# symmetry: No. 71

=====

# PBE Ac2Pm4Sm5, relaxed
data_Ac2Pm4Sm5
_chemical_formula_sum 'Ac2 Pm4 Sm5'
_space_group_name_H-M_alt 'P 1'
_space_group_IT_number 1
_cell_length_a 7.375
_cell_length_b 7.375
_cell_length_c 10.881
_cell_angle_alpha 121.55
_cell_angle_beta 121.55
_cell_angle_gamma 56.41
loop_
_space_group_symop_operation_xyz
'x,y,z'
loop_
_atom_site_label
_atom_site_fract_x
_atom_site_fract_y
_atom_site_fract_z
Ac1 0.067 0.067 0.242
Ac2 0.933 0.933 0.758
Pm1 0.262 0.262 0.031
Pm2 0.389 0.389 0.626
Pm3 0.611 0.611 0.374
Pm4 0.738 0.738 0.969
Sm1 0.079 0.608 0.333
Sm2 0.392 0.921 0.667
Sm3 0.500 0.500 0.000
Sm4 0.608 0.079 0.333
Sm5 0.921 0.392 0.667
# offset from the most stable computed form: 111 meV/atom
# total moment: 0.000 Bohr magnetons per cell
# symmetry: No. 12

=====

# PBE Ac4Pm2Sm, relaxed
data_Ac4Pm2Sm
_chemical_formula_sum 'Ac8 Pm4 Sm2'
_space_group_name_H-M_alt 'P 1'
_space_group_IT_number 1
_cell_length_a 8.505
_cell_length_b 8.505
_cell_length_c 18.457
_cell_angle_alpha 90.05
_cell_angle_beta 90.05
_cell_angle_gamma 153.80
loop_
_space_group_symop_operation_xyz
'x,y,z'
loop_
_atom_site_label
_atom_site_fract_x
_atom_site_fract_y
_atom_site_fract_z
Ac1 0.166 0.834 0.575
Ac2 0.166 0.834 0.925
Ac3 0.440 0.558 0.585
Ac4 0.442 0.560 0.915
Ac5 0.558 0.440 0.085
Ac6 0.560 0.442 0.415
Ac7 0.834 0.166 0.075
Ac8 0.834 0.166 0.425
Pm1 0.042 0.958 0.250
Pm2 0.379 0.621 0.250
Pm3 0.621 0.379 0.750
Pm4 0.958 0.042 0.750
Sm1 0.288 0.712 0.750
Sm2 0.712 0.288 0.250
# total moment: 0.000 Bohr magnetons per cell
# symmetry: No. 15

=====

# PBE Ac3Pm5Sm3, relaxed
data_Ac3Pm5Sm3
_chemical_formula_sum 'Ac3 Pm5 Sm3'
_space_group_name_H-M_alt 'P 1'
_space_group_IT_number 1
_cell_length_a 9.720
_cell_length_b 9.720
_cell_length_c 6.113
_cell_angle_alpha 90.00
_cell_angle_beta 90.00
_cell_angle_gamma 120.00
loop_
_space_group_symop_operation_xyz
'x,y,z'
loop_
_atom_site_label
_atom_site_fract_x
_atom_site_fract_y
_atom_site_fract_z
Ac1 0.000 0.420 0.000
Ac2 0.420 0.000 0.000
Ac3 0.580 0.580 0.000
Pm1 0.000 0.628 0.500
Pm2 0.333 0.667 0.500
Pm3 0.372 0.372 0.500
Pm4 0.628 0.000 0.500
Pm5 0.667 0.333 0.500
Sm1 0.000 0.261 0.500
Sm2 0.261 0.000 0.500
Sm3 0.739 0.739 0.500
# total moment: 0.000 Bohr magnetons per cell
# symmetry: No. 189

=====

Number 1: calculated total energy -49.343 eV per cell, DFT formation energy 0.15 eV/atom. Number 2: calculated total energy -33.273 eV per cell, DFT formation energy 0.11 eV/atom. Number 3: calculated total energy -69.409 eV per cell, DFT formation energy 0.16 eV/atom. Number 4: calculated total energy -89.651 eV per cell, DFT formation energy 0.22 eV/atom. Number 5: calculated total energy -53.324 eV per cell, DFT formation energy 0.04 eV/atom. Number 6: calculated total energy -49.222 eV per cell, DFT formation energy 0.14 eV/atom. Number 7: calculated total energy -58.258 eV per cell, DFT formation energy 0.22 eV/atom. Number 8: calculated total energy -42.927 eV per cell, DFT formation energy 0.66 eV/atom.